No. 1
Material: CaBeV2Cr
Method: DFT, PBE
State: optimized geometry

Cell: 4.348 4.348 4.634 Å, 90.00 90.00 90.00°
Space group P4/mmm (No. 123)
One atom of each set of equivalent atoms:
Ca (0.000, 0.000, 0.000) (multiplicity 1)
Be (0.500, 0.500, 0.000) (multiplicity 1)
V (0.000, 0.500, 0.500) (multiplicity 2)
Cr (0.500, 0.500, 0.500) (multiplicity 1)

Results
Formation enthalpy at 0 K (eV/f.u.): 3.493

***

No. 2
Material: CdRuCl2
Method: DFT, PBE
State: optimized geometry

Cell: 6.261 8.516 3.456 Å, 90.00 121.36 90.00°
Space group C2/m (No. 12)
One atom of each set of equivalent atoms:
Cd (0.000, 0.000, 0.000) (multiplicity 2)
Ru (0.000, 0.500, 0.000) (multiplicity 2)
Cl (0.250, 0.250, 0.000) (multiplicity 4)

Results
ΔE_f (raw) (eV/f.u.): 1.35

***

No. 3
Material: Ce4Sb2H
Method: DFT, PBE
State: optimized geometry

Cell: 4.826 15.687 4.480 Å, 90.00 90.00 90.00°
Space group Cmmm (No. 65)
One atom of each set of equivalent atoms:
Ce (0.000, 0.000, 0.000) (multiplicity 2)
Ce (0.000, 0.176, 0.500) (multiplicity 4)
Ce (0.000, 0.500, 0.500) (multiplicity 2)
Sb (0.000, 0.349, 0.000) (multiplicity 4)
H (0.000, 0.000, 0.500) (multiplicity 2)

Results
Total energy (eV per atom): -5.7366

***

No. 4
Material: TaCuSi
Method: DFT, PBE
State: optimized geometry

Cell: 5.809 5.809 5.809 Å, 90.00 90.00 90.00°
Space group F-43m (No. 216)
One atom of each set of equivalent atoms:
Ta (0.000, 0.000, 0.000) (multiplicity 4)
Cu (0.000, 0.000, 0.500) (multiplicity 4)
Si (0.250, 0.250, 0.750) (multiplicity 4)

Results
ΔE_f (raw) (eV/f.u.): 0.54

***

No. 5
Material: Pu3ThSb4
Method: DFT, PBE
State: optimized geometry

Cell: 7.709 8.925 7.720 Å, 90.00 109.55 90.00°
Space group P2/c (No. 13)
One atom of each set of equivalent atoms:
Pu (0.000, 0.124, 0.250) (multiplicity 2)
Pu (0.000, 0.374, 0.750) (multiplicity 2)
Pu (0.500, 0.124, 0.750) (multiplicity 2)
Th (0.500, 0.374, 0.250) (multiplicity 2)
Sb (0.246, 0.373, 0.500) (multiplicity 4)
Sb (0.248, 0.122, 0.998) (multiplicity 4)

Results
ΔE_f (raw) (eV/f.u.): -5.54

***

No. 6
Material: TaZnW
Method: DFT, PBE
State: optimized geometry

Cell: 2.699 4.258 8.579 Å, 90.00 90.00 90.00°
Space group Imm2 (No. 44)
One atom of each set of equivalent atoms:
Ta (0.000, 0.000, 0.000) (multiplicity 2)
Zn (0.000, 0.000, 0.332) (multiplicity 2)
W (0.000, 0.000, 0.670) (multiplicity 2)

Results
Formation enthalpy at 0 K (eV/f.u.): 0.620

***

No. 7
Material: ReSeSBr2
Method: DFT, PBE
State: optimized geometry

Cell: 5.067 5.067 5.074 Å, 90.00 90.00 90.00°
Space group P4/mmm (No. 123)
One atom of each set of equivalent atoms:
Re (0.000, 0.000, 0.000) (multiplicity 1)
Se (0.500, 0.500, 0.000) (multiplicity 1)
S (0.500, 0.500, 0.500) (multiplicity 1)
Br (0.000, 0.500, 0.500) (multiplicity 2)

Results
ΔE_f (raw) (eV/f.u.): 6.95

***

No. 8
Material: Ba2ScF8
Method: DFT, PBE
State: optimized geometry

Cell: 16.951 4.257 5.164 Å, 90.00 107.67 90.00°
Space group C2/m (No. 12)
One atom of each set of equivalent atoms:
Ba (0.164, 0.000, 0.166) (multiplicity 4)
Sc (0.000, 0.500, 0.500) (multiplicity 2)
F (0.001, 0.000, 0.292) (multiplicity 4)
F (0.096, 0.500, 0.849) (multiplicity 4)
F (0.100, 0.500, 0.363) (multiplicity 4)
F (0.231, 0.000, 0.733) (multiplicity 4)

Results
ΔE_f (raw) (eV/f.u.): -38.37

***

No. 9
Material: HoCo4Au
Method: DFT, PBE
State: optimized geometry

Cell: 7.006 7.006 7.006 Å, 90.00 90.00 90.00°
Space group F-43m (No. 216)
One atom of each set of equivalent atoms:
Ho (0.000, 0.000, 0.000) (multiplicity 4)
Co (0.124, 0.124, 0.624) (multiplicity 16)
Au (0.250, 0.250, 0.250) (multiplicity 4)

Results
Formation enthalpy at 0 K (eV/f.u.): -1.001

***

No. 10
Material: TaMoW2
Method: DFT, PBE
State: optimized geometry

Cell: 2.789 4.521 5.310 Å, 90.00 100.04 90.00°
Space group Pm (No. 6)
One atom of each set of equivalent atoms:
Ta (0.000, 0.000, 0.000) (multiplicity 1)
Mo (0.250, 0.500, 0.750) (multiplicity 1)
W (0.495, 0.000, 0.500) (multiplicity 1)
W (0.742, 0.500, 0.253) (multiplicity 1)

Results
Formation enthalpy at 0 K (eV/f.u.): -0.382

***

Which formula does entry 8 have? Ba2ScF8